Record 1
Density functional theory data (GGA-PBE) for an optimized crystal structure of Mg2InCu.

```
data_Mg2InCu
_cell_length_a 3.263
_cell_length_b 4.465
_cell_length_c 5.680
_cell_angle_alpha 90.00
_cell_angle_beta 106.16
_cell_angle_gamma 90.00
_symmetry_space_group_name_H-M 'P 1 m 1'
_symmetry_Int_Tables_number 6
loop_
_symmetry_equiv_pos_as_xyz
'x,y,z'
'x,-y,z'
loop_
_atom_site_label
_atom_site_type_symbol
_atom_site_fract_x
_atom_site_fract_y
_atom_site_fract_z
Mg1 Mg 0.000 0.000 0.000
Mg2 Mg 0.335 0.500 0.675
In1 In 0.725 0.000 0.456
Cu1 Cu 0.588 0.500 0.175
```

Computed properties:
energy = -10.18 eV/cell
formation energy = -39 meV per atom
total magnetic moment = 0.00 μB per cell

---

Record 2
Density functional theory data (GGA-PBE) for an optimized crystal structure of La2Ge2Mo.

```
data_La2Ge2Mo
_cell_length_a 3.671
_cell_length_b 3.671
_cell_length_c 18.603
_cell_angle_alpha 90.00
_cell_angle_beta 90.00
_cell_angle_gamma 90.00
_symmetry_space_group_name_H-M 'I 4/m m m'
_symmetry_Int_Tables_number 139
_symmetry_space_group_name_Hall '-I 4 2'
loop_
_atom_site_label
_atom_site_type_symbol
_atom_site_fract_x
_atom_site_fract_y
_atom_site_fract_z
La1 La 0.000 0.000 0.098
Ge1 Ge 0.000 0.500 0.250
Mo1 Mo 0.000 0.000 0.500
```

Computed properties:
energy = -58.04 eV/cell
formation energy = 180 meV per atom
total magnetic moment = 1.35 μB per cell

---

Record 3
Density functional theory data (GGA-PBE) for an optimized crystal structure of Tb6Y16Tm7.

```
data_Tb6Y16Tm7
_cell_length_a 15.707
_cell_length_b 15.707
_cell_length_c 15.707
_cell_angle_alpha 90.00
_cell_angle_beta 90.00
_cell_angle_gamma 90.00
_symmetry_space_group_name_H-M 'F m -3 m'
_symmetry_Int_Tables_number 225
_symmetry_space_group_name_Hall '-F 4 2 3'
loop_
_atom_site_label
_atom_site_type_symbol
_atom_site_fract_x
_atom_site_fract_y
_atom_site_fract_z
Tb1 Tb 0.000 0.000 0.218
Y1 Y 0.121 0.121 0.379
Y2 Y 0.153 0.153 0.153
Tm1 Tm 0.000 0.000 0.500
Tm2 Tm 0.000 0.250 0.250
```

Computed properties:
energy = -621.93 eV/cell
formation energy = 242 meV per atom
total magnetic moment = 21.46 μB per cell

---

Record 4
Density functional theory data (GGA-PBE) for an optimized crystal structure of KAcTe2Au.

```
data_KAcTe2Au
_cell_length_a 8.624
_cell_length_b 4.993
_cell_length_c 9.114
_cell_angle_alpha 90.00
_cell_angle_beta 98.07
_cell_angle_gamma 90.00
_symmetry_space_group_name_H-M 'P 1 2/c 1'
_symmetry_Int_Tables_number 13
loop_
_symmetry_equiv_pos_as_xyz
'x,y,z'
'-x,-y,-z'
'-x,y,-z+1/2'
'x,-y,z+1/2'
loop_
_atom_site_label
_atom_site_type_symbol
_atom_site_fract_x
_atom_site_fract_y
_atom_site_fract_z
K1 K 0.000 0.162 0.250
Ac1 Ac 0.500 0.491 0.750
Te1 Te 0.236 0.312 0.969
Au1 Au 0.500 0.000 0.000
```

Computed properties:
energy = -38.87 eV/cell
total magnetic moment = 0.00 μB per cell
uncorrected formation energy = -0.93 eV/atom

---

Record 5
Density functional theory data (GGA-PBE) for an optimized crystal structure of As2P2N.

```
data_As2P2N
_cell_length_a 5.446
_cell_length_b 5.446
_cell_length_c 5.194
_cell_angle_alpha 90.00
_cell_angle_beta 90.00
_cell_angle_gamma 90.00
_symmetry_space_group_name_H-M 'P 4/m b m'
_symmetry_Int_Tables_number 127
_symmetry_space_group_name_Hall '-P 4 2ab'
loop_
_atom_site_label
_atom_site_type_symbol
_atom_site_fract_x
_atom_site_fract_y
_atom_site_fract_z
As1 As 0.237 0.263 0.000
P1 P 0.215 0.285 0.500
N1 N 0.000 0.000 0.500
```

Computed properties:
energy = -50.18 eV/cell
total magnetic moment = 0.00 μB per cell
uncorrected formation energy = 0.67 eV/atom

---

Record 6
Density functional theory data (GGA-PBE) for an optimized crystal structure of MgGeTe2I.

```
data_MgGeTe2I
_cell_length_a 5.507
_cell_length_b 5.507
_cell_length_c 5.497
_cell_angle_alpha 90.00
_cell_angle_beta 90.00
_cell_angle_gamma 90.00
_symmetry_space_group_name_H-M 'P 4/m m m'
_symmetry_Int_Tables_number 123
_symmetry_space_group_name_Hall '-P 4 2'
loop_
_atom_site_label
_atom_site_type_symbol
_atom_site_fract_x
_atom_site_fract_y
_atom_site_fract_z
Mg1 Mg 0.000 0.000 0.000
Ge1 Ge 0.500 0.500 0.500
Te1 Te 0.000 0.500 0.000
I1 I 0.000 0.000 0.500
```

Computed properties:
energy = -12.91 eV/cell
total magnetic moment = 0.00 μB per cell
uncorrected formation energy = 0.23 eV/atom

---

Record 7
Density functional theory data (GGA-PBE) for an optimized crystal structure of Zr2NiW.

```
data_Zr2NiW
_cell_length_a 3.312
_cell_length_b 3.318
_cell_length_c 6.532
_cell_angle_alpha 90.00
_cell_angle_beta 90.09
_cell_angle_gamma 90.00
_symmetry_space_group_name_H-M 'P 1 2/m 1'
_symmetry_Int_Tables_number 10
loop_
_symmetry_equiv_pos_as_xyz
'x,y,z'
'-x,-y,-z'
'-x,y,-z'
'x,-y,z'
loop_
_atom_site_label
_atom_site_type_symbol
_atom_site_fract_x
_atom_site_fract_y
_atom_site_fract_z
Zr1 Zr 0.000 0.000 0.247
Ni1 Ni 0.500 0.500 0.000
W1 W 0.500 0.500 0.500
```

Computed properties:
energy = -36.30 eV/cell
formation energy = -117 meV per atom
total magnetic moment = 0.00 μB per cell

---

Record 8
Density functional theory data (GGA-PBE) for an optimized crystal structure of Ho3Tm5Sc.

```
data_Ho3Tm5Sc
_cell_length_a 11.936
_cell_length_b 11.001
_cell_length_c 11.394
_cell_angle_alpha 90.00
_cell_angle_beta 119.94
_cell_angle_gamma 90.00
_symmetry_space_group_name_H-M 'C 1 2/m 1'
_symmetry_Int_Tables_number 12
loop_
_symmetry_equiv_pos_as_xyz
'x,y,z'
'-x,-y,-z'
'-x,y,-z'
'x,-y,z'
'x+1/2,y+1/2,z'
'-x+1/2,-y+1/2,-z'
'-x+1/2,y+1/2,-z'
'x+1/2,-y+1/2,z'
loop_
_atom_site_label
_atom_site_type_symbol
_atom_site_fract_x
_atom_site_fract_y
_atom_site_fract_z
Ho1 Ho 0.000 0.000 0.000
Ho2 Ho 0.000 0.000 0.500
Ho3 Ho 0.178 0.500 0.240
Ho4 Ho 0.218 0.000 0.343
Tm1 Tm 0.000 0.284 0.000
Tm2 Tm 0.006 0.500 0.373
Tm3 Tm 0.175 0.500 0.955
Tm4 Tm 0.177 0.257 0.803
Sc1 Sc 0.070 0.000 0.791
```

Computed properties:
energy = -147.77 eV/cell
formation energy = 609 meV per atom
total magnetic moment = 0.00 μB per cell

---

Record 9
Density functional theory data (GGA-PBE) for an optimized crystal structure of Ca3PRu.

```
data_Ca3PRu
_cell_length_a 5.356
_cell_length_b 5.356
_cell_length_c 5.356
_cell_angle_alpha 90.00
_cell_angle_beta 90.00
_cell_angle_gamma 90.00
_symmetry_space_group_name_H-M 'P m -3 m'
_symmetry_Int_Tables_number 221
_symmetry_space_group_name_Hall '-P 4 2 3'
loop_
_atom_site_label
_atom_site_type_symbol
_atom_site_fract_x
_atom_site_fract_y
_atom_site_fract_z
Ca1 Ca 0.000 0.000 0.500
P1 P 0.000 0.000 0.000
Ru1 Ru 0.500 0.500 0.500
```

Computed properties:
energy = -20.06 eV/cell
formation energy = 126 meV per atom
total magnetic moment = 1.10 μB per cell

---

Record 10
Density functional theory data (GGA-PBE) for an optimized crystal structure of SmY2ErS4.

```
data_SmY2ErS4
_cell_length_a 6.803
_cell_length_b 3.894
_cell_length_c 6.849
_cell_angle_alpha 90.00
_cell_angle_beta 109.05
_cell_angle_gamma 90.00
_symmetry_space_group_name_H-M 'P 1 2/m 1'
_symmetry_Int_Tables_number 10
loop_
_symmetry_equiv_pos_as_xyz
'x,y,z'
'-x,-y,-z'
'-x,y,-z'
'x,-y,z'
loop_
_atom_site_label
_atom_site_type_symbol
_atom_site_fract_x
_atom_site_fract_y
_atom_site_fract_z
Sm1 Sm 0.000 0.000 0.000
Y1 Y 0.500 0.000 0.500
Y2 Y 0.500 0.500 0.000
Er1 Er 0.000 0.500 0.500
S1 S 0.249 0.000 0.743
S2 S 0.254 0.500 0.258
```

Computed properties:
energy = -54.62 eV/cell
total magnetic moment = 0.00 μB per cell
uncorrected formation energy = -1.99 eV/atom

---

Record 11
Density functional theory data (GGA-PBE) for an optimized crystal structure of Rb2MnSnSe5.

```
data_Rb2MnSnSe5
_cell_length_a 3.834
_cell_length_b 21.524
_cell_length_c 14.122
_cell_angle_alpha 90.00
_cell_angle_beta 90.00
_cell_angle_gamma 90.00
_symmetry_space_group_name_H-M 'C m c 21'
_symmetry_Int_Tables_number 36
loop_
_symmetry_equiv_pos_as_xyz
'x,y,z'
'-x,-y,z+1/2'
'-x,y,z'
'x,-y,z+1/2'
'x+1/2,y+1/2,z'
'-x+1/2,-y+1/2,z+1/2'
'-x+1/2,y+1/2,z'
'x+1/2,-y+1/2,z+1/2'
loop_
_atom_site_label
_atom_site_type_symbol
_atom_site_fract_x
_atom_site_fract_y
_atom_site_fract_z
Rb1 Rb 0.000 0.121 0.000
Rb2 Rb 0.000 0.128 0.378
Mn1 Mn 0.000 0.217 0.733
Sn1 Sn 0.000 0.437 0.150
Se1 Se 0.000 0.032 0.765
Se2 Se 0.000 0.287 0.344
Se3 Se 0.000 0.317 0.121
Se4 Se 0.000 0.321 0.686
Se5 Se 0.000 0.486 0.991
```

Computed properties:
energy = -153.02 eV/cell
total magnetic moment = 12.27 μB per cell
uncorrected formation energy = -0.64 eV/atom

---

Record 12
Density functional theory data (GGA-PBE) for an optimized crystal structure of Pm6ScIn5.

```
data_Pm6ScIn5
_cell_length_a 5.449
_cell_length_b 7.691
_cell_length_c 16.470
_cell_angle_alpha 90.00
_cell_angle_beta 90.00
_cell_angle_gamma 90.00
_symmetry_space_group_name_H-M 'I m m m'
_symmetry_Int_Tables_number 71
_symmetry_space_group_name_Hall '-I 2 2'
loop_
_atom_site_label
_atom_site_type_symbol
_atom_site_fract_x
_atom_site_fract_y
_atom_site_fract_z
Pm1 Pm 0.000 0.243 0.000
Pm2 Pm 0.000 0.254 0.330
Sc1 Sc 0.000 0.000 0.500
In1 In 0.000 0.000 0.167
In2 In 0.000 0.500 0.156
In3 In 0.000 0.500 0.500
```

Computed properties:
energy = -106.40 eV/cell
formation energy = -390 meV per atom
total magnetic moment = 3.27 μB per cell